Run w
Pr5Dy2In4 | PBE | optimized geometry

Cell lengths 15.379, 15.379, 15.379 Å; angles 167.06, 146.17, 36.37 degrees
Fractional coordinates of all 11 atoms:
Pr1 0.000 0.000 0.000
Pr2 0.002 0.302 0.700
Pr3 0.399 0.698 0.700
Pr4 0.601 0.302 0.300
Pr5 0.998 0.698 0.300
Dy1 0.096 0.596 0.500
Dy2 0.904 0.404 0.500
In1 0.300 0.800 0.500
In2 0.327 0.500 0.827
In3 0.673 0.500 0.173
In4 0.700 0.200 0.500

Computed properties:
* spin magnetization: 0.0 μB/f.u.
* D(E_F): 15.7 states/eV/cell

---

Run x
Pr5Dy2In4 | PBE | optimized geometry

Cell lengths 8.859, 3.470, 10.816 Å; angles 90.00, 95.41, 90.00 degrees
Fractional coordinates of all 11 atoms:
Pr1 0.000 0.000 0.000
Pr2 0.039 0.000 0.336
Pr3 0.344 0.000 0.860
Pr4 0.656 0.000 0.140
Pr5 0.961 0.000 0.664
Dy1 0.418 0.000 0.363
Dy2 0.582 0.000 0.637
In1 0.260 0.500 0.576
In2 0.299 0.500 0.126
In3 0.701 0.500 0.874
In4 0.740 0.500 0.424

Computed properties:
* spin magnetization: 0.0 μB/f.u.
* D(E_F): 12.9 states/eV/cell

---

Result of the stability comparison: run x is the most stable of them.

---

Run w
Pr4DyIn2 | PBE | optimized geometry

Cell lengths 6.199, 8.598, 9.470 Å; angles 82.33, 73.64, 69.52 degrees
Fractional coordinates of all 14 atoms:
Pr1 0.000 0.000 0.000
Pr2 0.027 0.970 0.641
Pr3 0.170 0.290 0.381
Pr4 0.422 0.251 0.972
Pr5 0.495 0.464 0.560
Pr6 0.532 0.737 0.867
Pr7 0.760 0.455 0.149
Pr8 0.852 0.708 0.498
Dy1 0.399 0.870 0.257
Dy2 0.767 0.096 0.354
In1 0.088 0.625 0.853
In2 0.172 0.624 0.165
In3 0.445 0.087 0.671
In4 0.929 0.357 0.763

Computed properties:
* spin magnetization: 0.0 μB/f.u.
* D(E_F): 16.7 states/eV/cell

---

Run x
Pr4DyIn2 | PBE | optimized geometry

Cell lengths 6.638, 6.638, 6.406 Å; angles 90.03, 90.03, 126.97 degrees
Fractional coordinates of all 7 atoms:
Pr1 0.000 0.500 0.500
Pr2 0.137 0.863 0.000
Pr3 0.500 0.000 0.500
Pr4 0.863 0.137 0.000
Dy1 0.000 0.000 0.500
In1 0.500 0.500 0.245
In2 0.500 0.500 0.755

Computed properties:
* spin magnetization: 0.0 μB/f.u.
* D(E_F): 9.9 states/eV/cell

---

Result of the stability comparison: run w is the most stable of them.

---

Run w
PrDy2In4 | PBE | optimized geometry

Cell lengths 9.939, 9.939, 9.939 Å; angles 152.59, 152.59, 39.15 degrees
Fractional coordinates of all 7 atoms:
Pr1 0.000 0.000 0.000
Dy1 0.249 0.249 0.000
Dy2 0.751 0.751 0.000
In1 0.125 0.625 0.500
In2 0.375 0.875 0.500
In3 0.625 0.125 0.500
In4 0.875 0.375 0.500

Computed properties:
* spin magnetization: 0.3 μB/f.u.
* D(E_F): 6.6 states/eV/cell

---

Run x
PrDy2In4 | PBE | optimized geometry

Cell lengths 7.185, 7.185, 7.185 Å; angles 130.79, 130.79, 72.14 degrees
Fractional coordinates of all 7 atoms:
Pr1 0.000 0.000 0.000
Dy1 0.354 0.354 0.000
Dy2 0.646 0.646 0.000
In1 0.000 0.500 0.500
In2 0.250 0.750 0.500
In3 0.500 0.000 0.500
In4 0.750 0.250 0.500

Computed properties:
* spin magnetization: 0.0 μB/f.u.
* D(E_F): 3.9 states/eV/cell

---

Result of the stability comparison: run w is the most stable of them.

---

Run w
Pr3Dy2In | PBE | optimized geometry

Cell lengths 8.087, 8.087, 4.951 Å; angles 90.00, 90.00, 143.72 degrees
Fractional coordinates of all 6 atoms:
Pr1 0.000 0.000 0.000
Pr2 0.331 0.669 0.000
Pr3 0.669 0.331 0.000
Dy1 0.163 0.837 0.500
Dy2 0.837 0.163 0.500
In1 0.500 0.500 0.500

Computed properties:
* spin magnetization: 0.0 μB/f.u.
* D(E_F): 7.5 states/eV/cell

---

Run x
Pr3Dy2In | PBE | optimized geometry

Cell lengths 8.796, 3.755, 11.785 Å; angles 90.00, 90.70, 90.00 degrees
Fractional coordinates of all 12 atoms:
Pr1 0.095 0.250 0.103
Pr2 0.343 0.750 0.570
Pr3 0.394 0.750 0.251
Pr4 0.606 0.250 0.749
Pr5 0.657 0.250 0.430
Pr6 0.905 0.750 0.897
Dy1 0.081 0.250 0.392
Dy2 0.356 0.750 0.929
Dy3 0.644 0.250 0.071
Dy4 0.919 0.750 0.608
In1 0.162 0.250 0.758
In2 0.838 0.750 0.242

Computed properties:
* spin magnetization: 0.0 μB/f.u.
* D(E_F): 16.2 states/eV/cell

---

Result of the stability comparison: run w is the most stable of them.

---

Run w
Pr6Dy2In | PBE | optimized geometry

Cell lengths 11.537, 11.537, 6.427 Å; angles 106.14, 106.14, 47.73 degrees
Fractional coordinates of all 18 atoms:
Pr1 0.007 0.150 0.440
Pr2 0.082 0.581 0.081
Pr3 0.150 0.007 0.940
Pr4 0.349 0.493 0.780
Pr5 0.419 0.918 0.419
Pr6 0.493 0.349 0.280
Pr7 0.507 0.651 0.720
Pr8 0.581 0.082 0.581
Pr9 0.651 0.507 0.220
Pr10 0.850 0.993 0.060
Pr11 0.918 0.419 0.919
Pr12 0.993 0.850 0.560
Dy1 0.173 0.327 0.420
Dy2 0.327 0.173 0.920
Dy3 0.673 0.827 0.080
Dy4 0.827 0.673 0.580
In1 0.251 0.749 0.250
In2 0.749 0.251 0.750

Computed properties:
* spin magnetization: 0.0 μB/f.u.
* D(E_F): 21.8 states/eV/cell

---

Run x
Pr6Dy2In | PBE | optimized geometry

Cell lengths 10.944, 10.944, 5.036 Å; angles 90.00, 90.00, 90.00 degrees
Fractional coordinates of all 18 atoms:
Pr1 0.004 0.332 0.000
Pr2 0.157 0.157 0.500
Pr3 0.168 0.504 0.500
Pr4 0.332 0.004 0.000
Pr5 0.343 0.657 0.000
Pr6 0.496 0.832 0.500
Pr7 0.504 0.168 0.500
Pr8 0.657 0.343 0.000
Pr9 0.668 0.996 0.000
Pr10 0.832 0.496 0.500
Pr11 0.843 0.843 0.500
Pr12 0.996 0.668 0.000
Dy1 0.162 0.838 0.500
Dy2 0.338 0.338 0.000
Dy3 0.662 0.662 0.000
Dy4 0.838 0.162 0.500
In1 0.000 0.000 0.000
In2 0.500 0.500 0.500

Computed properties:
* spin magnetization: 0.0 μB/f.u.
* D(E_F): 27.2 states/eV/cell

---

Result of the stability comparison: run x is the most stable of them.

---

Run w
Pr2DyIn | PBE | optimized geometry

Cell lengths 3.662, 3.662, 9.570 Å; angles 90.00, 90.00, 90.00 degrees
Fractional coordinates of all 4 atoms:
Pr1 0.000 0.000 0.228
Pr2 0.000 0.000 0.772
Dy1 0.500 0.500 0.500
In1 0.500 0.500 0.000

Computed properties:
* spin magnetization: 0.0 μB/f.u.
* D(E_F): 4.9 states/eV/cell

---

Run x
Pr2DyIn | PBE | optimized geometry

Cell lengths 5.596, 5.596, 5.596 Å; angles 60.00, 60.00, 60.00 degrees
Fractional coordinates of all 4 atoms:
Pr1 0.250 0.250 0.250
Pr2 0.750 0.750 0.750
Dy1 0.000 0.000 0.000
In1 0.500 0.500 0.500

Computed properties:
* spin magnetization: 0.1 μB/f.u.
* D(E_F): 7.6 states/eV/cell

---

Result of the stability comparison: run w is the most stable of them.

---

Run w
Pr2DyIn | PBE | optimized geometry

Cell lengths 11.322, 11.322, 11.322 Å; angles 18.83, 18.83, 18.83 degrees
Fractional coordinates of all 4 atoms:
Pr1 0.000 0.000 0.000
Pr2 0.176 0.176 0.176
Dy1 0.421 0.421 0.421
In1 0.588 0.588 0.588

Computed properties:
* spin magnetization: 0.3 μB/f.u.
* D(E_F): 6.0 states/eV/cell

---

Run x
Pr2DyIn | PBE | optimized geometry

Cell lengths 4.940, 4.940, 5.032 Å; angles 90.00, 90.00, 90.00 degrees
Fractional coordinates of all 4 atoms:
Pr1 0.000 0.500 0.000
Pr2 0.500 0.000 0.000
Dy1 0.000 0.000 0.500
In1 0.500 0.500 0.500

Computed properties:
* spin magnetization: 0.0 μB/f.u.
* D(E_F): 6.1 states/eV/cell

---

Result of the stability comparison: run x is the most stable of them.

---

Run w
Pr4Dy5In | PBE | optimized geometry

Cell lengths 8.186, 8.186, 8.186 Å; angles 97.37, 97.37, 138.04 degrees
Fractional coordinates of all 10 atoms:
Pr1 0.000 0.310 0.310
Pr2 0.000 0.690 0.690
Pr3 0.310 0.000 0.310
Pr4 0.690 0.000 0.690
Dy1 0.319 0.319 0.632
Dy2 0.319 0.687 0.000
Dy3 0.687 0.319 0.000
Dy4 0.687 0.687 0.368
Dy5 0.794 0.794 0.000
In1 0.278 0.278 0.000

Computed properties:
* spin magnetization: 0.0 μB/f.u.
* D(E_F): 13.8 states/eV/cell

---

Run x
Pr4Dy5In | PBE | optimized geometry

Cell lengths 3.637, 3.637, 24.570 Å; angles 90.00, 90.00, 90.00 degrees
Fractional coordinates of all 10 atoms:
Pr1 0.000 0.000 0.104
Pr2 0.000 0.000 0.313
Pr3 0.000 0.000 0.687
Pr4 0.000 0.000 0.896
Dy1 0.500 0.500 0.000
Dy2 0.500 0.500 0.207
Dy3 0.500 0.500 0.417
Dy4 0.500 0.500 0.583
Dy5 0.500 0.500 0.793
In1 0.000 0.000 0.500

Computed properties:
* spin magnetization: 0.0 μB/f.u.
* D(E_F): 13.4 states/eV/cell

---

Result of the stability comparison: run x is the most stable of them.

---

Run w
PrDyIn | PBE | optimized geometry

Cell lengths 4.663, 4.663, 8.579 Å; angles 90.00, 90.00, 90.00 degrees
Fractional coordinates of all 6 atoms:
Pr1 0.250 0.750 0.000
Pr2 0.750 0.250 0.000
Dy1 0.250 0.250 0.359
Dy2 0.750 0.750 0.641
In1 0.250 0.250 0.721
In2 0.750 0.750 0.279

Computed properties:
* spin magnetization: 0.2 μB/f.u.
* D(E_F): 8.8 states/eV/cell

---

Run x
PrDyIn | PBE | optimized geometry

Cell lengths 5.733, 5.733, 5.733 Å; angles 145.06, 121.31, 70.16 degrees
Fractional coordinates of all 3 atoms:
Pr1 0.000 0.000 0.000
Dy1 0.320 0.820 0.500
In1 0.632 0.632 0.000

Computed properties:
* spin magnetization: 0.0 μB/f.u.
* D(E_F): 4.1 states/eV/cell

---

Run y
PrDyIn | PBE | optimized geometry

Cell lengths 5.511, 5.511, 6.821 Å; angles 90.00, 90.00, 120.00 degrees
Fractional coordinates of all 6 atoms:
Pr1 0.000 0.000 0.000
Pr2 0.000 0.000 0.500
Dy1 0.333 0.667 0.250
Dy2 0.667 0.333 0.750
In1 0.333 0.667 0.750
In2 0.667 0.333 0.250

Computed properties:
* spin magnetization: 0.0 μB/f.u.
* D(E_F): 6.9 states/eV/cell

---

Result of the stability comparison: run y is the most stable of them.

---

Run w
PrDyIn | PBE | optimized geometry

Cell lengths 7.435, 7.435, 7.435 Å; angles 151.80, 151.80, 40.31 degrees
Fractional coordinates of all 3 atoms:
Pr1 0.000 0.000 0.000
Dy1 0.308 0.308 0.000
In1 0.662 0.662 0.000

Computed properties:
* spin magnetization: 0.0 μB/f.u.
* D(E_F): 2.7 states/eV/cell

---

Run x
PrDyIn | PBE | optimized geometry

Cell lengths 5.306, 5.306, 3.746 Å; angles 90.00, 90.00, 120.00 degrees
Fractional coordinates of all 3 atoms:
Pr1 0.000 0.000 0.000
Dy1 0.667 0.333 0.446
In1 0.333 0.667 0.630

Computed properties:
* spin magnetization: 0.0 μB/f.u.
* D(E_F): 2.0 states/eV/cell

---

Result of the stability comparison: run w is the most stable of them.

---

Run w
Pr3Dy4In | PBE | optimized geometry

Cell lengths 13.158, 13.158, 5.899 Å; angles 97.66, 97.66, 15.09 degrees
Fractional coordinates of all 8 atoms:
Pr1 0.000 0.000 0.000
Pr2 0.150 0.150 0.207
Pr3 0.850 0.850 0.793
Dy1 0.100 0.100 0.674
Dy2 0.282 0.282 0.265
Dy3 0.718 0.718 0.735
Dy4 0.900 0.900 0.326
In1 0.500 0.500 0.500

Computed properties:
* spin magnetization: 0.3 μB/f.u.
* D(E_F): 11.8 states/eV/cell

---

Run x
Pr3Dy4In | PBE | optimized geometry

Cell lengths 11.368, 7.159, 6.273 Å; angles 90.00, 90.00, 90.00 degrees
Fractional coordinates of all 16 atoms:
Pr1 0.000 0.127 0.000
Pr2 0.238 0.116 0.347
Pr3 0.262 0.884 0.847
Pr4 0.500 0.873 0.500
Pr5 0.738 0.884 0.847
Pr6 0.762 0.116 0.347
Dy1 0.000 0.381 0.542
Dy2 0.000 0.628 0.021
Dy3 0.239 0.624 0.363
Dy4 0.261 0.376 0.863
Dy5 0.500 0.372 0.521
Dy6 0.500 0.619 0.042
Dy7 0.739 0.376 0.863
Dy8 0.761 0.624 0.363
In1 0.000 0.859 0.526
In2 0.500 0.141 0.026

Computed properties:
* spin magnetization: 0.0 μB/f.u.
* D(E_F): 17.4 states/eV/cell

---

Result of the stability comparison: run x is the most stable of them.